1.
This record from Alexandria describes Er3Zn2Pd6 after structural relaxation. The functional is GGA-PBE.

Unit cell a=4.124 b=4.124 c=24.308 alpha=90.00 beta=90.00 gamma=90.00
Space group I4/mmm (No. 139)
One atom of each set of equivalent atoms:
Er1 0.000 0.000 0.000 (multiplicity 2)
Er2 0.000 0.000 0.198 (multiplicity 4)
Zn1 0.000 0.000 0.451 (multiplicity 4)
Pd1 0.000 0.000 0.314 (multiplicity 4)
Pd2 0.000 0.500 0.108 (multiplicity 8)

Computed properties:
* E above lowest polymorph: 56.7 meV/atom


2.
This record from Alexandria describes AcPm5Nd12 after structural relaxation. The functional is GGA-PBE.

Unit cell a=6.414 b=11.095 c=18.092 alpha=90.00 beta=96.82 gamma=90.00
Space group C2/m (No. 12)
One atom of each set of equivalent atoms:
Ac1 0.000 0.000 0.000 (multiplicity 2)
Pm1 0.000 0.166 0.500 (multiplicity 4)
Pm2 0.000 0.334 0.000 (multiplicity 4)
Pm3 0.000 0.500 0.500 (multiplicity 2)
Nd1 0.111 0.000 0.333 (multiplicity 4)
Nd2 0.111 0.333 0.335 (multiplicity 8)
Nd3 0.220 0.500 0.168 (multiplicity 4)
Nd4 0.225 0.168 0.168 (multiplicity 8)


no.,total energy (eV/atom),energy of formation from the pure elements (eV per atom)
1,-5.035,-0.726
2,-4.719,0.008